No. 1
12
Lattice="-5.926 2.847 -0.085 1.576 -4.754 7.830 4.939 6.796 -0.882" Properties=species:S:1:pos:R:3 comment="PrNd4Hg | Alexandria via LeMat-Bulk | GGA-PBE | relaxed" polymorph_energy_mev_per_atom=86 formation_enthalpy_0k_ev_per_fu=-0.39 magmom_total_mub_per_cell=0.00 pbc="T T T"
Nd 0.894 1.863 1.892
Nd 2.373 0.947 6.556
Nd -1.784 3.941 0.308
Nd -3.234 0.337 6.249
Nd 3.391 3.009 4.027
Nd -0.305 3.026 4.971
Nd 3.823 4.552 0.615
Nd -2.802 1.879 2.837
Pr 0.774 5.479 2.419
Pr -0.185 -0.590 4.444
Hg -1.473 0.729 -0.012
Hg 2.062 4.159 6.876

---

No. 2
8
Lattice="3.814 0.000 -0.614 -0.208 5.363 -1.290 -0.045 0.011 11.866" Properties=species:S:1:pos:R:3 comment="Pr2Nd3Hg3 | Alexandria via LeMat-Bulk | GGA-PBE | relaxed" formation_enthalpy_0k_ev_per_fu=-2.78 magmom_total_mub_per_cell=0.00 pbc="T T T"
Pr 2.723 1.250 4.761
Pr 0.838 4.124 5.201
Nd 2.223 3.325 1.656
Nd 1.338 2.049 8.307
Nd 1.907 0.000 -0.307
Hg -0.104 2.682 -0.645
Hg 3.150 4.745 7.412
Hg 0.411 0.629 2.550

---

No. 3
9
Lattice="3.501 0.000 0.000 0.000 7.600 -4.388 0.000 0.000 8.775" Properties=species:S:1:pos:R:3 comment="PrNd2Hg6 | Alexandria via LeMat-Bulk | GGA-PBE | relaxed" formation_enthalpy_0k_ev_per_fu=-3.90 magmom_total_mub_per_cell=0.58 pbc="T T T"
Hg 1.751 0.000 5.846
Hg 1.751 2.537 -1.465
Hg 1.751 7.600 -1.458
Hg 1.751 5.062 2.923
Hg 1.751 5.062 5.852
Hg 1.751 2.537 1.465
Nd 0.000 2.533 4.388
Nd 3.501 5.066 0.000
Pr 0.000 0.000 8.775

---

No. 4
12
Lattice="-2.689 -2.241 -6.652 5.503 -5.276 -0.447 -5.872 -1.193 7.022" Properties=species:S:1:pos:R:3 comment="Pr3NdHg2 | Alexandria via LeMat-Bulk | GGA-PBE | relaxed" polymorph_energy_mev_per_atom=244 formation_enthalpy_0k_ev_per_fu=-0.48 magmom_total_mub_per_cell=0.00 pbc="T T T"
Pr -0.660 -3.577 1.471
Pr 2.092 -6.214 1.248
Pr 2.783 -5.077 -3.661
Pr 0.032 -2.439 -3.438
Pr -5.149 -2.495 -1.325
Pr -2.397 -5.133 -1.549
Nd 2.752 -2.638 -0.224
Nd 0.000 0.000 0.000
Hg -3.767 -4.029 1.169
Hg -3.124 -2.945 -3.702
Hg 0.710 -4.680 -1.246
Hg 0.067 -5.764 3.625

---

No. 5
7
Lattice="5.284 0.000 0.000 2.642 4.576 0.000 2.642 1.525 10.350" Properties=species:S:1:pos:R:3 comment="Pr4NdHg2 | Alexandria via LeMat-Bulk | GGA-PBE | relaxed" formation_enthalpy_0k_ev_per_fu=0.19 magmom_total_mub_per_cell=2.02 pbc="T T T"
Hg 5.284 3.051 2.038
Hg 5.284 3.051 8.312
Nd 5.284 3.051 5.175
Pr 2.642 1.525 6.920
Pr 7.926 4.576 9.162
Pr 2.642 1.525 1.188
Pr 7.926 4.576 3.430

---

No. 6
8
Lattice="-1.210 4.937 2.043 -4.136 2.902 -2.117 -7.674 -1.348 6.058" Properties=species:S:1:pos:R:3 comment="Pr4NdHg3 | Alexandria via LeMat-Bulk | GGA-PBE | relaxed" formation_enthalpy_0k_ev_per_fu=-2.33 magmom_total_mub_per_cell=0.05 pbc="T T T"
Nd 0.000 0.000 0.000
Hg -10.005 4.707 4.736
Hg -3.015 1.784 1.248
Hg -6.510 3.246 2.992
Pr -7.661 6.283 2.316
Pr -4.513 4.588 0.931
Pr -5.360 0.208 3.669
Pr -8.507 1.903 5.054

---

No. 7
10
Lattice="-5.067 -0.038 0.115 2.638 -1.743 3.961 0.028 11.186 4.905" Properties=species:S:1:pos:R:3 comment="PrNd2Hg7 | Alexandria via LeMat-Bulk | GGA-PBE | relaxed" formation_enthalpy_0k_ev_per_fu=-3.27 magmom_total_mub_per_cell=0.00 pbc="T T T"
Hg 0.074 0.491 3.410
Hg 0.012 5.071 2.224
Hg 0.095 8.977 7.130
Hg 0.081 3.174 4.586
Hg -2.476 8.803 5.523
Hg -2.483 5.629 4.131
Hg 0.020 8.264 3.624
Nd -2.491 2.592 2.800
Nd 0.088 6.075 5.858
Pr 0.000 0.150 0.066

---

No. 8
12
Lattice="2.332 -4.039 0.000 2.332 4.039 0.000 0.000 0.000 23.182" Properties=species:S:1:pos:R:3 comment="Pr4Nd7Hg | Alexandria via LeMat-Bulk | GGA-PBE | relaxed" formation_enthalpy_0k_ev_per_fu=5.41 magmom_total_mub_per_cell=1.17 pbc="T T T"
Pr 2.332 -1.346 2.230
Pr 2.332 -1.346 7.963
Pr 2.332 1.346 20.952
Pr 2.332 1.346 15.219
Nd 2.332 1.346 4.254
Nd 2.332 -1.346 18.928
Nd 0.000 0.000 0.000
Nd 2.332 1.346 10.175
Nd 0.000 0.000 17.240
Nd 2.332 -1.346 13.007
Nd 0.000 0.000 5.942
Hg 0.000 0.000 11.591

---

No. 9
12
Lattice="-4.942 0.280 -1.974 2.169 -3.507 -5.928 -2.174 -8.508 4.238" Properties=species:S:1:pos:R:3 comment="Pr3NdHg2 | Alexandria via LeMat-Bulk | GGA-PBE | relaxed" polymorph_energy_mev_per_atom=0 formation_enthalpy_0k_ev_per_fu=-1.94 magmom_total_mub_per_cell=0.00 pbc="T T T"
Hg -0.824 -6.459 1.149
Hg 0.904 -5.692 -3.070
Hg -2.295 -1.940 -1.723
Hg -2.735 -9.661 -1.714
Pr 2.017 -3.933 -5.606
Pr -1.389 -3.701 -4.239
Pr 0.331 -8.622 -2.049
Pr -0.003 -3.930 -0.549
Pr -3.891 -7.494 1.488
Pr -0.998 -9.735 1.121
Nd -3.405 -3.687 0.810
Nd -2.564 -6.394 -1.679

---

No. 10
12
Lattice="5.443 0.000 0.022 2.721 8.171 0.011 -0.031 0.000 7.736" Properties=species:S:1:pos:R:3 comment="Pr2NdHg3 | Alexandria via LeMat-Bulk | GGA-PBE | relaxed" formation_enthalpy_0k_ev_per_fu=-2.84 magmom_total_mub_per_cell=2.82 pbc="T T T"
Pr -0.015 0.000 3.868
Pr 0.000 0.000 0.000
Pr 5.428 5.452 3.890
Pr 2.706 2.719 3.879
Nd 5.443 5.448 0.022
Nd 2.721 2.722 0.011
Hg 2.714 5.435 1.923
Hg 2.698 5.435 5.835
Hg 5.435 2.736 1.934
Hg 2.714 0.000 1.932
Hg 5.420 2.736 5.845
Hg 2.698 0.000 5.826

---

No. 11
12
Lattice="5.622 0.000 0.000 0.000 5.269 0.000 0.000 -2.635 11.896" Properties=species:S:1:pos:R:3 comment="Pr3Nd2Hg7 | Alexandria via LeMat-Bulk | GGA-PBE | relaxed" formation_enthalpy_0k_ev_per_fu=-3.99 magmom_total_mub_per_cell=0.00 pbc="T T T"
Hg 2.811 2.635 9.908
Hg 2.811 0.000 1.988
Hg 0.000 0.000 6.559
Hg 0.000 0.000 0.000
Hg 0.000 2.635 1.741
Hg 0.000 0.000 10.155
Hg 0.000 2.635 5.337
Nd 0.000 2.635 8.512
Nd 0.000 0.000 3.384
Pr 2.811 0.000 7.853
Pr 2.811 2.635 4.042
Pr 2.811 2.635 0.000

---

No. 12
18
Lattice="7.137 0.000 0.000 0.000 9.461 0.000 0.000 -4.731 8.194" Properties=species:S:1:pos:R:3 comment="Pr5NdHg3 | Alexandria via LeMat-Bulk | GGA-PBE | relaxed" formation_enthalpy_0k_ev_per_fu=-2.47 magmom_total_mub_per_cell=0.00 pbc="T T T"
Hg 1.784 3.164 5.480
Hg 5.353 6.328 0.000
Hg 1.784 7.895 2.713
Hg 5.353 1.567 2.713
Hg 1.784 3.134 0.000
Hg 5.353 -3.164 5.480
Pr 0.000 0.000 5.462
Pr 3.568 4.731 2.731
Pr 1.784 1.582 2.740
Pr 3.568 0.000 5.462
Pr 5.353 -1.582 2.740
Pr 5.353 3.149 5.453
Pr 1.784 6.297 0.000
Pr 0.000 4.731 2.731
Pr 1.784 6.313 5.453
Pr 5.353 3.164 0.000
Nd 0.000 0.000 0.000
Nd 3.568 0.000 0.000

---

No. 13
7
Lattice="-4.755 1.340 1.815 -1.779 -4.831 -1.092 1.874 -2.160 6.503" Properties=species:S:1:pos:R:3 comment="PrNdHg5 | Alexandria via LeMat-Bulk | GGA-PBE | relaxed" formation_enthalpy_0k_ev_per_fu=-2.10 magmom_total_mub_per_cell=0.00 pbc="T T T"
Hg -1.940 0.166 2.427
Hg 0.547 -4.071 4.438
Hg -0.941 -0.985 5.891
Hg -0.452 -2.920 0.973
Hg -2.330 -2.825 3.613
Pr 0.937 -1.080 3.251
Nd -3.267 -1.745 0.362

---

No. 14
20
Lattice="-0.199 -1.798 4.959 -8.798 -3.475 -1.614 7.382 -8.307 -2.715" Properties=species:S:1:pos:R:3 comment="Pr3NdHg6 | Alexandria via LeMat-Bulk | GGA-PBE | relaxed" formation_enthalpy_0k_ev_per_fu=-4.38 magmom_total_mub_per_cell=0.00 pbc="T T T"
Hg 1.846 -10.798 0.374
Hg -0.957 -4.998 2.364
Hg -7.640 -5.464 1.926
Hg -1.821 -11.004 0.152
Hg -3.194 -8.100 1.149
Hg -0.658 -8.582 -1.733
Hg 6.026 -8.116 -1.296
Hg 0.206 -2.576 0.479
Hg -5.145 -5.964 -0.964
Hg -3.461 -2.782 0.257
Hg 3.530 -7.616 1.595
Hg 1.580 -5.480 -0.519
Pr -1.673 -5.411 -0.624
Pr -4.309 -5.305 2.118
Pr 0.058 -8.168 1.255
Pr -2.059 -2.198 3.335
Pr 2.694 -8.275 -1.487
Pr 0.444 -11.382 -2.704
Nd -3.778 -8.793 -1.935
Nd 2.163 -4.786 2.566

---

No. 15
8
Lattice="5.215 0.000 1.539 2.380 4.640 1.539 -0.080 -0.049 9.874" Properties=species:S:1:pos:R:3 comment="PrNd4Hg3 | Alexandria via LeMat-Bulk | GGA-PBE | relaxed" formation_enthalpy_0k_ev_per_fu=-2.32 magmom_total_mub_per_cell=0.13 pbc="T T T"
Hg 1.987 1.214 2.871
Hg 5.528 3.377 10.082
Hg 3.758 2.296 6.477
Pr 0.000 0.000 0.000
Nd 6.567 4.012 6.564
Nd 4.634 2.831 3.510
Nd 2.882 1.761 9.443
Nd 0.949 0.580 6.389

---

No. 16
6
Lattice="-2.951 -2.425 0.379 3.625 -4.148 1.682 -2.849 4.691 7.846" Properties=species:S:1:pos:R:3 comment="Pr3Nd2Hg | Alexandria via LeMat-Bulk | GGA-PBE | relaxed" polymorph_energy_mev_per_atom=0 formation_enthalpy_0k_ev_per_fu=-0.82 magmom_total_mub_per_cell=0.00 pbc="T T T"
Pr -0.655 1.654 5.490
Pr 0.337 -3.287 1.030
Pr 1.431 -1.111 4.038
Hg 0.000 0.000 0.000
Nd -0.405 -1.412 7.254
Nd -1.769 -0.471 2.652

---

No. 17
16
Lattice="7.184 0.957 0.000 -0.971 7.182 0.000 0.000 0.000 10.357" Properties=species:S:1:pos:R:3 comment="PrNd14Hg | Alexandria via LeMat-Bulk | GGA-PBE | relaxed" formation_enthalpy_0k_ev_per_fu=-0.44 magmom_total_mub_per_cell=0.00 pbc="T T T"
Nd 0.098 6.366 2.382
Nd 0.098 6.366 7.974
Nd 4.129 3.288 2.712
Nd 0.552 2.833 2.535
Nd 3.626 6.860 2.535
Nd 2.069 4.861 5.178
Nd 5.474 5.203 0.000
Nd 5.745 5.391 5.178
Nd 4.129 3.288 7.644
Nd 2.527 1.175 5.178
Nd 6.214 1.697 5.178
Nd 2.636 1.487 0.000
Nd 3.626 6.860 7.821
Nd 0.552 2.833 7.821
Hg 2.072 4.859 0.000
Pr 6.157 1.740 0.000

---

No. 18
11
Lattice="5.101 0.000 0.000 0.000 7.363 0.158 -2.550 -2.975 7.577" Properties=species:S:1:pos:R:3 comment="PrNd2Hg8 | Alexandria via LeMat-Bulk | GGA-PBE | relaxed" polymorph_energy_mev_per_atom=0 formation_enthalpy_0k_ev_per_fu=-3.96 magmom_total_mub_per_cell=0.00 pbc="T T T"
Hg 0.000 1.566 6.244
Hg 0.000 0.365 2.329
Hg 2.550 -0.835 7.294
Hg 0.000 -1.210 4.975
Hg 2.550 4.023 5.406
Hg 0.000 5.223 0.441
Hg 2.550 2.823 1.491
Hg 2.550 5.598 2.761
Nd 2.550 0.833 4.469
Nd 0.000 3.556 3.266
Pr 2.550 0.000 0.000

---

No. 19
14
Lattice="8.850 0.308 1.268 -0.331 8.849 -1.269 -3.113 -5.644 6.200" Properties=species:S:1:pos:R:3 comment="PrNd4Hg2 | Alexandria via LeMat-Bulk | GGA-PBE | relaxed" polymorph_energy_mev_per_atom=113 formation_enthalpy_0k_ev_per_fu=-0.23 magmom_total_mub_per_cell=0.00 pbc="T T T"
Hg 4.463 6.524 1.233
Hg 4.628 2.099 1.867
Hg 3.072 -0.723 4.967
Hg -1.353 -0.877 4.333
Nd 2.316 4.297 1.290
Nd 7.498 5.350 1.759
Nd 6.942 -0.098 2.445
Nd 1.683 2.220 4.441
Nd 1.759 -1.152 1.975
Nd 1.006 -3.025 4.911
Nd 5.139 1.580 5.024
Nd 4.461 -3.666 5.494
Pr -0.955 2.426 2.466
Pr 1.363 1.465 0.000

---

No. 20
4
Lattice="5.275 0.000 0.000 2.638 4.568 0.000 2.638 1.523 4.307" Properties=species:S:1:pos:R:3 comment="PrNdHgPt | Alexandria via LeMat-Bulk | GGA-PBE | relaxed" formation_enthalpy_0k_ev_per_fu=-2.81 magmom_total_mub_per_cell=0.00 pbc="T T T"
Pt 0.000 0.000 0.000
Pr 7.913 4.568 3.230
Hg 5.275 3.046 2.154
Nd 2.638 1.523 1.077

---

No. 21
4
Lattice="-5.029 -0.729 2.142 -0.555 -1.746 5.201 -1.870 3.443 3.880" Properties=species:S:1:pos:R:3 comment="PrNdPuHg | Alexandria via LeMat-Bulk | GGA-PBE | relaxed" formation_enthalpy_0k_ev_per_fu=0.09 magmom_total_mub_per_cell=6.27 pbc="T T T"
Hg -1.863 0.242 2.806
Nd -3.727 0.484 5.611
Pr 0.000 0.000 0.000
Pu -5.590 0.726 8.417

---

No. 22
9
Lattice="3.832 0.000 0.000 0.000 8.957 0.000 0.000 -4.479 7.757" Properties=species:S:1:pos:R:3 comment="Pr3Nd3Hg2Rh | Alexandria via LeMat-Bulk | GGA-PBE | relaxed" formation_enthalpy_0k_ev_per_fu=-3.56 magmom_total_mub_per_cell=0.00 pbc="T T T"
Nd 1.916 6.791 0.000
Nd 1.916 -3.396 5.882
Nd 1.916 1.083 1.876
Rh 0.000 0.000 0.000
Hg 1.916 4.479 2.586
Hg 1.916 0.000 5.171
Pr 0.000 2.671 4.626
Pr 0.000 -1.808 3.131
Pr 0.000 3.615 0.000